# 1
ZnAsN2 | PBE | relaxed

a b c (Å): 6.182 6.182 6.182
angles (deg): 28.65 28.65 28.65
Fractional positions:
Zn  0.000  0.000  0.000
As  0.500  0.500  0.500
N  0.107  0.107  0.107
N  0.893  0.893  0.893

Computed properties:
excess energy over the best structure of this formula in the dataset	149.9	meV per atom
density	5.82	g/cm³
V	12.01	A^3/atom

***

# 2
Zn2AsN | PBE | relaxed

a b c (Å): 4.313 4.313 4.313
angles (deg): 60.00 60.00 60.00
Fractional positions:
Zn  0.250  0.250  0.250
Zn  0.750  0.750  0.750
As  0.000  0.000  0.000
N  0.500  0.500  0.500

Computed properties:
excess energy over the best structure of this formula in the dataset	754.9	meV per atom
density	6.43	g/cm³
V	14.18	A^3/atom